1.
Entry from Alexandria via LeMat-Bulk: an optimized crystal structure of Ba3SnF (GGA-PBE).

Summary:
- Energy above the most stable polymorph in this dataset: 0 meV per atom
- Raw formation energy: -1.37 eV/atom

```
5
Lattice="5.549 0.000 0.000 0.000 5.549 0.000 0.000 0.000 5.549" Properties=species:S:1:pos:R:3 pbc="T T T"
F 0.000 0.000 0.000
Ba 0.000 0.000 2.775
Sn 2.775 2.775 2.775
Ba 2.775 0.000 0.000
Ba 0.000 2.775 0.000
```

***

2.
Entry from Alexandria via LeMat-Bulk: an optimized crystal structure of SrTiReRh2 (GGA-PBE).

Summary:
- Formation energy from the elements: 2.380 eV/atom

```
5
Lattice="4.724 0.000 0.000 0.000 4.842 0.000 0.000 0.000 4.724" Properties=species:S:1:pos:R:3 pbc="T T T"
Ti 0.000 2.421 0.000
Sr 0.000 0.000 0.000
Rh 2.362 0.000 0.000
Re 2.362 2.421 2.362
Rh 0.000 0.000 2.362
```

***

The following final energy values (in eV per atom) correspond, in order, to the records above: -3.69 -4.97.